(1)
TlPb2Se3 after structural relaxation. Source: Alexandria, functional PBE.

For the uncorrected formation energy, the calculation gives -0.454 eV/atom. Its volume is 176.94 Å³ per cell.

```
TlPb2Se3
1.0
-2.201 3.037 6.618
2.201 -3.037 6.618
2.201 3.037 -6.618
Tl Pb Se
1 2 3
direct
0.000 0.000 0.000
0.330 0.330 0.000
0.670 0.670 0.000
0.170 0.670 0.500
0.500 0.000 0.500
0.830 0.330 0.500
```



(2)
TlPbSe after structural relaxation. Source: Alexandria, functional PBE.

For the uncorrected formation energy, the calculation gives -0.179 eV/atom. Its volume is 421.58 Å³ per cell. As for the excess energy over the best structure of this formula in the dataset: 0.0820 eV/atom.

```
TlPbSe
1.0
7.498 0.000 0.000
0.000 7.498 0.000
0.000 0.000 7.498
Tl Pb Se
4 4 4
direct
0.098 0.098 0.098
0.402 0.902 0.598
0.598 0.402 0.902
0.902 0.598 0.402
0.196 0.304 0.696
0.304 0.696 0.196
0.696 0.196 0.304
0.804 0.804 0.804
0.163 0.663 0.837
0.337 0.337 0.337
0.663 0.837 0.163
0.837 0.163 0.663
```



(3)
TlPbSe after structural relaxation. Source: Alexandria, functional PBE.

For the uncorrected formation energy, the calculation gives -0.173 eV/atom. Its volume is 93.93 Å³ per cell. As for the excess energy over the best structure of this formula in the dataset: 0.0879 eV/atom.

```
TlPbSe
1.0
5.096 0.000 0.000
-2.548 4.414 0.000
0.000 0.000 4.176
Tl Pb Se
1 1 1
direct
0.000 0.000 0.000
0.667 0.333 0.469
0.333 0.667 0.578
```



(4)
TlPbSe after structural relaxation. Source: Alexandria, functional PBE.

For the uncorrected formation energy, the calculation gives -0.223 eV/atom. Its volume is 89.58 Å³ per cell. As for the excess energy over the best structure of this formula in the dataset: 0.0376 eV/atom.

```
TlPbSe
1.0
-1.944 1.944 5.925
1.944 -1.944 5.925
1.944 1.944 -5.925
Tl Pb Se
1 1 1
direct
0.000 0.000 0.000
0.708 0.708 0.000
0.320 0.320 0.000
```



Calculated theoretical density, 8.03, 7.73, 8.67, 9.09 g/cm³ (same order as the records).
Calculated total energy, -3.826, -3.365, -3.359, -3.410 eV/atom (same order as the records).